Entry 1:
A relaxed Tb4CoPb2 crystal. Source: Alexandria, functional PBE.

```
data_Tb4CoPb2
_chemical_formula_sum 'Tb8 Co2 Pb4'
_cell_length_a 4.9288
_cell_length_b 4.9288
_cell_length_c 16.6754
_cell_angle_alpha 90.00
_cell_angle_beta 90.00
_cell_angle_gamma 90.00
_symmetry_space_group_name_H-M 'I 4/m m m'
_symmetry_Int_Tables_number 139
_symmetry_space_group_name_Hall '-I 4 2'
loop_
_atom_site_label
_atom_site_type_symbol
_atom_site_fract_x
_atom_site_fract_y
_atom_site_fract_z
_atom_site_occupancy
Tb1 Tb 0.0000 0.0000 0.1718 1
Tb2 Tb 0.0000 0.5000 0.0000 1
Co1 Co 0.0000 0.0000 0.0000 1
Pb1 Pb 0.0000 0.0000 0.3598 1
```

## Properties
The relative energy among the computed polymorphs is 0.00 eV/f.u. Its formation energy is -30.9 kJ/mol of atoms. The value obtained for the density of states at the Fermi level is 0.55 states/eV per atom. The calculation puts the total magnetization at 0.00 μB/cell.

Entry 2:
A relaxed Mn2ReSb crystal. Source: Alexandria, functional PBE.

```
data_Mn2ReSb
_chemical_formula_sum 'Mn2 Re1 Sb1'
_cell_length_a 2.9836
_cell_length_b 3.7753
_cell_length_c 5.4640
_cell_angle_alpha 90.00
_cell_angle_beta 90.00
_cell_angle_gamma 90.00
_symmetry_space_group_name_H-M 'P m m m'
_symmetry_Int_Tables_number 47
_symmetry_space_group_name_Hall '-P 2 2'
loop_
_atom_site_label
_atom_site_type_symbol
_atom_site_fract_x
_atom_site_fract_y
_atom_site_fract_z
_atom_site_occupancy
Mn1 Mn 0.0000 0.0000 0.2218 1
Re1 Re 0.5000 0.5000 0.0000 1
Sb1 Sb 0.5000 0.5000 0.5000 1
```

## Properties
The value obtained for the density of states at the Fermi level is 0.89 states/eV per atom. The calculation puts the total magnetization at 4.65 μB/cell. The formation energy (no corrections) is 0.2864 eV/atom.

Entry 3:
A relaxed Li2Nd4N crystal. Source: Alexandria, functional PBE.

```
data_Li2Nd4N
_chemical_formula_sum 'Li4 Nd8 N2'
_cell_length_a 5.0843
_cell_length_b 5.0843
_cell_length_c 14.9488
_cell_angle_alpha 90.00
_cell_angle_beta 90.00
_cell_angle_gamma 90.00
_symmetry_space_group_name_H-M 'I 4/m m m'
_symmetry_Int_Tables_number 139
_symmetry_space_group_name_Hall '-I 4 2'
loop_
_atom_site_label
_atom_site_type_symbol
_atom_site_fract_x
_atom_site_fract_y
_atom_site_fract_z
_atom_site_occupancy
Li1 Li 0.0000 0.0000 0.1324 1
Nd1 Nd 0.0000 0.0000 0.3362 1
Nd2 Nd 0.0000 0.5000 0.0000 1
N1 N 0.0000 0.0000 0.5000 1
```

## Properties
The value obtained for the density of states at the Fermi level is 1.11 states/eV per atom. The calculation puts the total magnetization at 0.00 μB/cell. The formation energy (no corrections) is -0.1985 eV/atom.